NdHg2 | PBE | relaxed

Cell: 3.462 5.079 5.079 Å, 120.00 90.00 90.00°
Each line ends with the local moment (μB).
Positions (direct):
Nd1 0.500 0.000 0.000  0.06
Hg1 0.000 0.333 0.667  0.00
Hg2 0.000 0.667 0.333  0.00

energy relative to the elements	-0.4303	eV/atom
symmetry	No. 191

***

Nd4Hg3 | PBE | relaxed

Cell: 6.628 8.686 8.686 Å, 113.76 104.74 104.74°
Each line ends with the local moment (μB).
Positions (direct):
Hg1 0.136 0.592 0.868  0.00
Hg2 0.268 0.132 0.723  0.00
Hg3 0.545 0.277 0.408  0.00
Hg4 0.732 0.868 0.277  0.00
Hg5 0.864 0.408 0.132  0.00
Hg6 0.455 0.723 0.592  0.00
Nd1 0.628 0.552 0.852  0.03
Nd2 0.500 0.000 0.000  0.02
Nd3 0.372 0.448 0.148  0.03
Nd4 0.076 0.300 0.448  0.03
Nd5 0.924 0.700 0.552  0.03
Nd6 0.776 0.148 0.700  0.03
Nd7 0.000 0.000 0.000  0.05
Nd8 0.224 0.852 0.300  0.03

energy above the most stable polymorph in this dataset	0.00	eV/f.u.
energy relative to the elements	-0.3704	eV/atom
symmetry	No. 148

***

NdHg5 | PBE | relaxed

Cell: 5.151 5.174 6.629 Å, 85.27 90.00 119.85°
Positions (direct):
Hg1 0.962 0.923 0.358
Hg2 0.306 0.611 0.611
Hg3 0.649 0.299 0.864
Hg4 0.629 0.259 0.355
Hg5 0.982 0.963 0.868
Nd1 0.306 0.611 0.111

energy relative to the elements	-0.2415	eV/atom
symmetry	No. 12

***

Nd8NiHg2 | PBE | relaxed

Cell: 6.429 9.072 9.072 Å, 129.56 103.38 103.38°
Positions (direct):
Nd1 0.982 0.200 0.805
Nd2 0.653 0.378 0.158
Nd3 0.982 0.805 0.200
Nd4 0.164 0.284 0.284
Nd5 0.281 0.615 0.839
Nd6 0.767 0.746 0.746
Nd7 0.653 0.158 0.378
Nd8 0.281 0.839 0.615
Hg1 0.481 0.723 0.286
Hg2 0.481 0.286 0.723
Ni1 0.275 0.000 0.000

energy relative to the elements	-0.1714	eV/atom
symmetry	No. 8

***

Nd2Ni2Hg3 | PBE | relaxed

Cell: 3.838 4.115 10.328 Å, 101.49 90.00 90.00°
Positions (direct):
Hg1 0.000 0.000 0.000
Hg2 0.500 0.579 0.158
Hg3 0.500 0.421 0.842
Ni1 0.500 0.283 0.566
Ni2 0.500 0.717 0.434
Nd1 0.000 0.830 0.660
Nd2 0.000 0.170 0.340

energy relative to the elements	-0.3317	eV/atom
symmetry	No. 65

***

Nd4Ni2Hg | PBE | relaxed

Cell: 7.061 6.978 8.747 Å, 107.44 107.86 104.06°
Positions (direct):
Nd1 0.835 0.601 0.600
Nd2 0.975 0.205 0.322
Nd3 0.900 0.632 0.176
Nd4 0.483 0.752 0.900
Nd5 0.223 0.149 0.723
Nd6 0.446 0.041 0.316
Nd7 0.381 0.475 0.185
Nd8 0.749 0.173 0.777
Ni1 0.588 0.216 0.067
Ni2 0.105 0.553 0.919
Ni3 0.437 0.386 0.581
Ni4 0.772 0.900 0.433
Hg1 0.047 0.950 0.984
Hg2 0.309 0.716 0.516

energy relative to the elements	-0.2584	eV/atom
symmetry	No. 1

***

Nd2NiHg | PBE | relaxed

Cell: 3.586 3.586 7.709 Å, 90.00 90.00 90.00°
Positions (direct):
Nd1 0.000 0.000 0.782
Nd2 0.000 0.000 0.218
Ni1 0.500 0.500 0.000
Hg1 0.500 0.500 0.500

energy above the most stable polymorph in this dataset	0.00	eV/f.u.
energy relative to the elements	-0.3443	eV/atom
symmetry	No. 123

***

Nd6NiHg2 | PBE | relaxed

Cell: 7.217 7.334 10.627 Å, 90.00 93.49 90.00°
Positions (direct):
Nd1 0.387 0.506 0.747
Nd2 0.306 0.802 0.050
Nd3 0.806 0.698 0.550
Nd4 0.194 0.302 0.450
Nd5 0.887 0.994 0.247
Nd6 0.613 0.494 0.253
Nd7 0.305 0.791 0.449
Nd8 0.195 0.291 0.051
Nd9 0.805 0.709 0.949
Nd10 0.113 0.006 0.753
Nd11 0.695 0.209 0.551
Nd12 0.694 0.198 0.950
Ni1 0.000 0.000 0.500
Ni2 0.500 0.500 0.000
Hg1 0.037 0.577 0.237
Hg2 0.537 0.923 0.737
Hg3 0.963 0.423 0.763
Hg4 0.463 0.077 0.263

energy above the most stable polymorph in this dataset	0.73	eV/f.u.
energy relative to the elements	-0.2086	eV/atom
symmetry	No. 14